# 1
{
  "formula": "Tb3Ag3Pd2",
  "functional": "PBE",
  "state": "optimized geometry",
  "ef_mev_per_atom": -573,
  "space_group": "P-62m (189)",
  "lattice_angstrom": [[-0.8016, -1.3402, 3.3546], [-2.8008, -6.1735, -3.1357], [7.2309, 0.2995, 1.8476]],
  "species": ["Tb", "Tb", "Tb", "Ag", "Ag", "Ag", "Pd", "Pd"],
  "frac_coords": [[0.5000, 0.4082, 0.4082], [0.5000, 0.5918, 0.0000], [0.5000, 0.0000, 0.5918], [0.0000, 0.7709, 0.7709], [0.0000, 0.2291, 0.0000], [0.0000, 0.0000, 0.2291], [0.0000, 0.3333, 0.6667], [0.0000, 0.6667, 0.3333]]
}


# 2
{
  "formula": "SrCe5Pb6",
  "functional": "PBE",
  "state": "optimized geometry",
  "ef_mev_per_atom": -397,
  "space_group": "C2/m (12)",
  "lattice_angstrom": [[0.2648, 3.3235, -4.8256], [3.6808, -5.2577, -3.4189], [-9.2647, -1.2978, -0.2439]],
  "species": ["Pb", "Pb", "Pb", "Pb", "Pb", "Pb", "Sr", "Ce", "Ce", "Ce", "Ce", "Ce"],
  "frac_coords": [[0.8383, 0.5791, 0.6622], [0.8384, 0.0831, 0.6622], [0.5000, 0.7459, 0.0000], [0.5000, 0.2541, 0.0000], [0.1616, 0.9169, 0.3378], [0.1617, 0.4209, 0.3378], [0.0000, 0.0000, 0.0000], [0.6554, 0.1677, 0.3354], [0.3348, 0.3347, 0.6695], [0.0000, 0.5000, 0.0000], [0.6652, 0.6653, 0.3305], [0.3446, 0.8323, 0.6646]]
}


# 3
{
  "formula": "LiPuPaSe4",
  "functional": "PBE",
  "state": "optimized geometry",
  "final_energy_ev_per_fu": -49.1,
  "space_group": "Imma (74)",
  "lattice_angstrom": [[9.3184, 0.0000, 0.0000], [-4.6592, 6.0365, -1.5799], [0.0000, -4.6618, 7.6665]],
  "species": ["Li", "Li", "Pu", "Pu", "Pa", "Pa", "Se", "Se", "Se", "Se", "Se", "Se", "Se", "Se"],
  "frac_coords": [[0.5000, 0.5000, 0.5000], [0.0000, 0.5000, 0.5000], [0.8926, 0.7853, 0.1426], [0.1074, 0.2147, 0.8574], [0.5000, 0.0000, 0.5000], [0.5000, 0.0000, 0.0000], [0.8078, 0.6156, 0.7432], [0.2583, 0.8865, 0.1933], [0.6282, 0.8865, 0.1933], [0.8078, 0.6156, 0.3723], [0.1922, 0.3844, 0.6277], [0.7417, 0.1135, 0.8067], [0.3718, 0.1135, 0.8067], [0.1922, 0.3844, 0.2568]]
}


Number 1: volume 178.8 Å³/f.u.. Number 2: volume 365.5 Å³/f.u.. Number 3: volume 181.3 Å³/f.u..